Here is a relaxed AlWIO2 crystal from the Alexandria database. Energies are from GGA+U.

Calculated values
The density of states at the Fermi level comes out at 1.94 states/eV/cell. Its relative energy among the computed polymorphs is 282 meV per atom. Its space group is No. 123. As for the total moment: 4.589 μB per formula unit.

Unit cell a=3.873 b=3.873 c=5.942 alpha=90.00 beta=90.00 gamma=90.00
Element x y z (fractional)
1 W 0.500 0.500 0.500
2 I 0.000 0.000 0.500
3 O 0.000 0.500 0.000
4 O 0.500 0.000 0.000
5 Al 0.000 0.000 0.000

Here is a relaxed AlWIO2 crystal from the Alexandria database. Energies are from GGA+U.

Calculated values
The density of states at the Fermi level comes out at 1.12 states/eV/cell. Its relative energy among the computed polymorphs is 0 meV per atom. Its space group is No. 123. As for the total moment: 2.166 μB per formula unit.

Unit cell a=4.053 b=4.053 c=6.376 alpha=90.00 beta=90.00 gamma=90.00
Element x y z (fractional)
1 Al 0.500 0.500 0.500
2 O 0.500 0.000 0.000
3 O 0.000 0.500 0.000
4 W 0.000 0.000 0.000
5 I 0.000 0.000 0.500